# In2PbSe

In2PbSe after structural relaxation (GGA-PBEsol, Alexandria).

The structure belongs to space group F-43m (No. 216); the cell edges are 7.4284, 7.4284 and 7.4284 Å and the angles 90.00°, 90.00° and 90.00°. The distinct sites, in fractional coordinates, are In at (0.0000, 0.0000, 0.0000), In at (0.2500, 0.2500, 0.2500), Pb at (0.0000, 0.0000, 0.5000) and Se at (0.2500, 0.2500, 0.7500).

Its relative energy among the computed polymorphs is 0.49 eV/f.u. Its uncorrected energy is -55.54 eV per cell. The density of states at the Fermi level is 2.246 states/eV/f.u. Its spin magnetization is 0.000 μB per formula unit. The formation energy (no corrections) comes out at -17 meV per atom.